Entry 1:
KCdBr2 | PBE | optimized geometry

SG: No. 123
Fermi-level density of states: 1.79 states/eV/f.u.
Uncorrected formation energy: -0.92 eV/atom
Magnetic moment: 0.0 μB per formula unit
DFT total energy: -9.05 eV per formula unit

Lattice parameters (Å, degrees): 5.4925 5.4925 3.8904 90.00 90.00 90.00
With the nearest neighbours (Å) after each atom.
Fractional positions:
K1 0.0000 0.0000 0.0000  8 Br 3.37
Cd1 0.5000 0.5000 0.0000  8 Br 3.37
Br1 0.0000 0.5000 0.5000  4 Cd 3.37, 4 K 3.37
Br2 0.5000 0.0000 0.5000  4 Cd 3.37, 4 K 3.37



Entry 2:
K4CdBr | PBE | optimized geometry

SG: No. 216
Fermi-level density of states: 3.12 states/eV/f.u.
Uncorrected formation energy: -0.16 eV/atom
Magnetic moment: 0.0 μB per formula unit
DFT total energy: -7.94 eV per formula unit

Lattice parameters (Å, degrees): 7.8762 7.8762 7.8762 60.00 60.00 60.00
With the nearest neighbours (Å) after each atom.
Fractional positions:
K1 0.1244 0.1244 0.1244  6 K 3.92-3.96
K2 0.1244 0.1244 0.6268  6 K 3.92-3.96
K3 0.1244 0.6268 0.1244  6 K 3.92-3.96
K4 0.6268 0.1244 0.1244  6 K 3.92-3.96
Cd1 0.5000 0.5000 0.5000  12 K 4.62, 4 Br 4.82
Br1 0.7500 0.7500 0.7500  12 K 4.62, 4 Cd 4.82



Entry 3:
KCd2Br | PBE | optimized geometry

SG: No. 6
Fermi-level density of states: 0.81 states/eV/f.u.
Uncorrected formation energy: -0.63 eV/atom
Magnetic moment: 0.0 μB per formula unit
DFT total energy: -7.10 eV per formula unit

Lattice parameters (Å, degrees): 4.3085 4.3567 7.5988 90.00 105.99 90.00
With the nearest neighbours (Å) after each atom.
Fractional positions:
K1 0.0000 0.0000 0.0000  4 Br 3.20
Cd1 0.2156 0.5000 0.4503  4 Cd 3.07, 1 Br 3.08
Cd2 0.7066 0.0000 0.4317  4 Cd 3.07
Br1 0.4380 0.5000 0.8724  1 Cd 3.08, 4 K 3.20



Entry 4:
K2Cd3Br8 | PBE | optimized geometry

SG: No. 12
Fermi-level density of states: 0.00 states/eV/f.u.
Uncorrected formation energy: -1.13 eV/atom
Magnetic moment: 0.0 μB per formula unit
DFT total energy: -33.04 eV per formula unit

Lattice parameters (Å, degrees): 8.9837 8.9837 7.2703 105.68 105.68 54.97
With the nearest neighbours (Å) after each atom.
Fractional positions:
K1 0.2352 0.2352 0.1691  6 Br 3.28-3.38
K2 0.7648 0.7648 0.8309  6 Br 3.28-3.38
Cd1 0.2423 0.7577 0.5000  6 Br 2.78-2.90
Cd2 0.5000 0.5000 0.0000  6 Br 2.78-2.89
Cd3 0.7577 0.2423 0.5000  6 Br 2.78-2.90
Br1 0.1134 0.1134 0.4599  2 Cd 2.78
Br2 0.1656 0.6310 0.1075  2 Cd 2.78-2.83
Br3 0.3690 0.8344 0.8925  2 Cd 2.78-2.83
Br4 0.3975 0.3975 0.5961  3 Cd 2.89-2.90
Br5 0.6025 0.6025 0.4039  3 Cd 2.89-2.90
Br6 0.6310 0.1656 0.1075  2 Cd 2.78-2.83
Br7 0.8344 0.3690 0.8925  2 Cd 2.78-2.83
Br8 0.8866 0.8866 0.5401  2 Cd 2.78



Entry 5:
KCd5Br11 | PBE | optimized geometry

SG: No. 12
Fermi-level density of states: 0.00 states/eV/f.u.
Uncorrected formation energy: -0.92 eV/atom
Magnetic moment: 0.0 μB per formula unit
DFT total energy: -39.64 eV per formula unit

Lattice parameters (Å, degrees): 9.1421 9.1421 8.1809 103.59 103.59 109.85
With the nearest neighbours (Å) after each atom.
Fractional positions:
K1 0.0000 0.0000 0.0000  10 Br 3.67-4.09
Cd1 0.0812 0.3681 0.6296  4 Br 2.62-2.86
Cd2 0.3681 0.0812 0.6296  4 Br 2.62-2.86
Cd3 0.5000 0.5000 0.0000  6 Br 2.82-2.86
Cd4 0.6319 0.9188 0.3704  4 Br 2.62-2.86
Cd5 0.9188 0.6319 0.3704  4 Br 2.62-2.86
Br1 0.0000 0.0000 0.5000  4 Cd 3.04
Br2 0.1278 0.7039 0.6893  2 Cd 2.62-2.86
Br3 0.1678 0.4175 0.9760  2 Cd 2.64-2.82
Br4 0.2961 0.8722 0.3107  2 Cd 2.62-2.86
Br5 0.3900 0.3900 0.6178  3 Cd 2.79-2.86
Br6 0.4175 0.1678 0.9760  2 Cd 2.64-2.82
Br7 0.5825 0.8322 0.0240  2 Cd 2.64-2.82
Br8 0.6100 0.6100 0.3822  3 Cd 2.79-2.86
Br9 0.7039 0.1278 0.6893  2 Cd 2.62-2.86
Br10 0.8322 0.5825 0.0240  2 Cd 2.64-2.82
Br11 0.8722 0.2961 0.3107  2 Cd 2.62-2.86



Entry 6:
KCd2Br | PBE | optimized geometry

SG: No. 216
Fermi-level density of states: 0.28 states/eV/f.u.
Uncorrected formation energy: -0.49 eV/atom
Magnetic moment: 0.0 μB per formula unit
DFT total energy: -6.55 eV per formula unit

Lattice parameters (Å, degrees): 5.7409 5.7409 5.7409 60.00 60.00 60.00
With the nearest neighbours (Å) after each atom.
Fractional positions:
K1 0.0000 0.0000 0.0000  4 Cd 3.52, 4 Br 3.52
Cd1 0.2500 0.2500 0.2500  4 Cd 3.52, 4 K 3.52
Cd2 0.5000 0.5000 0.5000  4 Cd 3.52, 4 Br 3.52
Br1 0.7500 0.7500 0.7500  4 Cd 3.52, 4 K 3.52



Entry 7:
KCdBr2 | PBE | optimized geometry

SG: No. 166
Fermi-level density of states: 3.45 states/eV/f.u.
Uncorrected formation energy: -0.95 eV/atom
Magnetic moment: 0.0 μB per formula unit
DFT total energy: -9.16 eV per formula unit

Lattice parameters (Å, degrees): 7.5681 7.5681 7.5681 36.61 36.61 36.61
With the nearest neighbours (Å) after each atom.
Fractional positions:
K1 0.0000 0.0000 0.0000  6 Br 3.36
Cd1 0.5000 0.5000 0.5000  6 Br 3.18
Br1 0.2421 0.2421 0.2421  3 Cd 3.18, 3 K 3.36
Br2 0.7579 0.7579 0.7579  3 Cd 3.18, 3 K 3.36



Entry 8:
K2CdBr | PBE | optimized geometry

SG: No. 6
Fermi-level density of states: 2.22 states/eV/f.u.
Uncorrected formation energy: -0.71 eV/atom
Magnetic moment: 0.0 μB per formula unit
DFT total energy: -7.64 eV per formula unit

Lattice parameters (Å, degrees): 4.3089 5.8962 5.9040 90.00 90.00 90.00
With the nearest neighbours (Å) after each atom.
Fractional positions:
K1 0.0000 0.0000 0.0000  4 Br 3.65-3.66, 4 Cd 3.65
K2 0.0002 0.5000 0.4989  4 Br 3.64-3.66, 4 Cd 3.65-3.66
Cd1 0.5005 0.5000 0.9986  8 K 3.65-3.66
Br1 0.5030 0.0000 0.5003  8 K 3.64-3.66



Entry 9:
K4Cd2Br | PBE | optimized geometry

SG: No. 139
Fermi-level density of states: 4.83 states/eV/f.u.
Uncorrected formation energy: -0.29 eV/atom
Magnetic moment: 0.0 μB per formula unit
DFT total energy: -9.92 eV per formula unit

Lattice parameters (Å, degrees): 11.6526 11.6526 11.6526 149.70 149.70 43.38
With the nearest neighbours (Å) after each atom.
Fractional positions:
K1 0.0000 0.5000 0.5000  2 Br 3.05
K2 0.1757 0.1757 0.0000  1 Cd 3.59
K3 0.5000 0.0000 0.5000  2 Br 3.05
K4 0.8243 0.8243 0.0000  1 Cd 3.59
Cd1 0.3414 0.3414 0.0000  1 Br 3.44, 1 K 3.59
Cd2 0.6586 0.6586 0.0000  1 Br 3.44, 1 K 3.59
Br1 0.5000 0.5000 0.0000  4 K 3.05



Entry 10:
KCdBr2 | PBE | optimized geometry

SG: No. 44
Fermi-level density of states: 1.32 states/eV/f.u.
Uncorrected formation energy: -0.95 eV/atom
Magnetic moment: 0.0 μB per formula unit
DFT total energy: -9.17 eV per formula unit

Lattice parameters (Å, degrees): 7.8878 7.8878 7.8878 149.53 147.85 44.88
With the nearest neighbours (Å) after each atom.
Fractional positions:
K1 0.0000 0.0000 0.0000  6 Br 3.29-3.48
Cd1 0.7624 0.2624 0.5000  6 Br 3.11-3.25
Br1 0.3146 0.8146 0.5000  4 Cd 3.11, 2 K 3.48
Br2 0.5912 0.5912 0.0000  2 Cd 3.25, 4 K 3.29



Entry 11:
KCd2Br | PBE | optimized geometry

SG: No. 166
Uncorrected formation energy: -0.34 eV/atom
Magnetic moment: 0.0 μB per formula unit
DFT total energy: -5.95 eV per formula unit

Lattice parameters (Å, degrees): 9.5652 9.5652 9.5652 26.28 26.28 26.28
With the nearest neighbours (Å) after each atom.
Fractional positions:
K1 0.0000 0.0000 0.0000  6 Cd 3.63
Cd1 0.2389 0.2389 0.2389  3 Br 3.21
Cd2 0.7611 0.7611 0.7611  3 Br 3.21
Br1 0.5000 0.5000 0.5000  6 Cd 3.21



Entry 12:
K5CdBr8 | PBE | optimized geometry

SG: No. 82
Fermi-level density of states: 13.31 states/eV/f.u.
Uncorrected formation energy: -1.34 eV/atom
Magnetic moment: 1.3 μB per formula unit
DFT total energy: -38.52 eV per formula unit

Lattice parameters (Å, degrees): 8.6665 8.6665 8.6665 112.26 112.26 104.04
With the nearest neighbours (Å) after each atom.
Fractional positions:
K1 0.0000 0.0000 0.0000  4 Br 3.31
K2 0.2475 0.1198 0.6048  7 Br 3.25-3.57
K3 0.3573 0.7525 0.8723  7 Br 3.25-3.57
K4 0.5150 0.6427 0.3952  7 Br 3.25-3.57
K5 0.8802 0.4850 0.1277  7 Br 3.25-3.57
Cd1 0.7500 0.2500 0.5000  4 Br 2.72
Br1 0.0714 0.3582 0.8263  1 Cd 2.72
Br2 0.1647 0.3935 0.4109  5 K 3.25-3.45
Br3 0.2462 0.8353 0.2287  5 K 3.25-3.45
Br4 0.5319 0.2451 0.1737  1 Cd 2.72
Br5 0.6065 0.0174 0.7713  5 K 3.25-3.45
Br6 0.6418 0.4681 0.7132  1 Cd 2.72
Br7 0.7549 0.9286 0.2868  1 Cd 2.72
Br8 0.9826 0.7538 0.5891  5 K 3.25-3.45



Q: uncorrected formation energy of number 6 (KCd2Br)?
A: -0.49 eV/atom



Please write out number 5 again, unchanged.
KCd5Br11 | PBE | optimized geometry

SG: No. 12
Fermi-level density of states: 0.00 states/eV/f.u.
Uncorrected formation energy: -0.92 eV/atom
Magnetic moment: 0.0 μB per formula unit
DFT total energy: -39.64 eV per formula unit

Lattice parameters (Å, degrees): 9.1421 9.1421 8.1809 103.59 103.59 109.85
With the nearest neighbours (Å) after each atom.
Fractional positions:
K1 0.0000 0.0000 0.0000  10 Br 3.67-4.09
Cd1 0.0812 0.3681 0.6296  4 Br 2.62-2.86
Cd2 0.3681 0.0812 0.6296  4 Br 2.62-2.86
Cd3 0.5000 0.5000 0.0000  6 Br 2.82-2.86
Cd4 0.6319 0.9188 0.3704  4 Br 2.62-2.86
Cd5 0.9188 0.6319 0.3704  4 Br 2.62-2.86
Br1 0.0000 0.0000 0.5000  4 Cd 3.04
Br2 0.1278 0.7039 0.6893  2 Cd 2.62-2.86
Br3 0.1678 0.4175 0.9760  2 Cd 2.64-2.82
Br4 0.2961 0.8722 0.3107  2 Cd 2.62-2.86
Br5 0.3900 0.3900 0.6178  3 Cd 2.79-2.86
Br6 0.4175 0.1678 0.9760  2 Cd 2.64-2.82
Br7 0.5825 0.8322 0.0240  2 Cd 2.64-2.82
Br8 0.6100 0.6100 0.3822  3 Cd 2.79-2.86
Br9 0.7039 0.1278 0.6893  2 Cd 2.62-2.86
Br10 0.8322 0.5825 0.0240  2 Cd 2.64-2.82
Br11 0.8722 0.2961 0.3107  2 Cd 2.62-2.86



Q: Among the records above, which one has the lowest uncorrected formation energy?
A: K5CdBr8